A geometry-optimized TaTi5Al2Tc2 structure. Source: Alexandria, functional PBE-GGA.

VASP energy: -8.074 eV per atom
Symmetry: P4/mbm (127)
DFT formation energy: -120.0 meV per atom

a = 9.0048 Å, b = 9.0048 Å, c = 4.1244 Å
α = 90.00°, β = 90.00°, γ = 90.00°
Fractional positions:
Ta 0.0000 0.0000 0.0000
Ta 0.5000 0.5000 0.0000
Ti 0.0000 0.5000 0.5000
Ti 0.0851 0.1997 0.5000
Ti 0.1997 0.9149 0.5000
Ti 0.3003 0.4149 0.5000
Ti 0.4149 0.6997 0.5000
Ti 0.5000 0.0000 0.5000
Ti 0.5851 0.3003 0.5000
Ti 0.6997 0.5851 0.5000
Ti 0.8003 0.0851 0.5000
Ti 0.9149 0.8003 0.5000
Al 0.1722 0.6722 0.0000
Al 0.3278 0.1722 0.0000
Al 0.6722 0.8278 0.0000
Al 0.8278 0.3278 0.0000
Tc 0.1227 0.3773 0.0000
Tc 0.3773 0.8773 0.0000
Tc 0.6227 0.1227 0.0000
Tc 0.8773 0.6227 0.0000